1.
DFT (PBE) results for a relaxed La4ZnIn crystal.

Geometry as extended XYZ:
```
6
Lattice="-3.689 -3.104 4.355 -6.112 1.935 1.048 -4.962 -3.691 -1.989" Properties=species:S:1:pos:R:3 pbc="T T T"
La -7.381 -3.384 3.474
La -8.024 -3.680 0.272
La -8.604 -0.839 1.805
La -5.518 -1.817 1.276
Zn -11.073 -3.645 2.560
In 0.000 0.000 0.000
```

Results
* Fermi-level density of states: 8.71 states/eV/cell
* ΔE to the lowest computed polymorph: 476.2 meV/atom
* calculated total energy: -22.40 eV per formula unit
* formation energy: 221 meV/atom
* crystal system: cubic

=====

2.
DFT (PBE) results for a relaxed La6Zn5In crystal.

Geometry as extended XYZ:
```
12
Lattice="-4.827 2.204 -0.758 -3.238 -5.842 3.634 3.136 2.844 7.367" Properties=species:S:1:pos:R:3 pbc="T T T"
Zn -3.778 -0.520 3.753
Zn -2.769 -3.185 8.323
Zn -1.619 -2.921 1.817
Zn -2.160 2.392 1.920
Zn -1.151 -0.274 6.490
In 0.000 0.000 0.000
La -4.359 -0.645 6.929
La -2.774 2.215 5.150
La -0.122 2.423 7.936
La -4.807 -3.216 2.307
La -2.155 -3.008 5.093
La -0.570 -0.149 3.314
```

Results
* Fermi-level density of states: 14.74 states/eV/cell
* calculated total energy: -42.74 eV per formula unit
* formation energy: -339 meV/atom
* crystal system: monoclinic

=====

3.
DFT (PBE) results for a relaxed La3Zn4In7 crystal.

Geometry as extended XYZ:
```
14
Lattice="-0.859 1.909 -4.126 -8.505 2.989 0.559 0.342 8.889 1.448" Properties=species:S:1:pos:R:3 pbc="T T T"
La -1.663 2.859 -0.925
La -7.360 10.928 -1.194
La -4.082 5.939 1.004
Zn -4.333 4.662 -2.129
Zn -4.689 9.125 0.010
Zn -8.370 7.593 -2.526
Zn -0.653 6.194 0.408
In -6.959 7.758 -0.150
In -2.072 8.663 -0.748
In -3.819 11.011 -1.892
In -2.064 6.029 -1.969
In -5.203 2.777 -0.226
In 0.000 0.000 0.000
In -6.950 5.124 -1.370
```

Results
* Fermi-level density of states: 6.03 states/eV/cell
* calculated total energy: -44.51 eV per formula unit
* formation energy: -390 meV/atom
* crystal system: monoclinic

=====

4.
DFT (PBE) results for a relaxed LaZn2In2 crystal.

Geometry as extended XYZ:
```
10
Lattice="-3.555 -2.740 6.926 6.476 -4.929 1.374 1.544 2.529 1.793" Properties=species:S:1:pos:R:3 pbc="T T T"
Zn 4.352 -5.391 3.854
Zn 0.871 -5.464 6.956
Zn -1.432 -2.279 4.446
Zn 2.050 -2.205 1.345
In 4.518 -2.534 3.027
In 3.726 -4.654 6.700
In -0.053 -2.606 7.066
In 0.739 -0.486 3.394
La 0.000 0.000 0.000
La 1.460 -3.835 4.150
```

Results
* Fermi-level density of states: 4.69 states/eV/cell
* calculated total energy: -13.89 eV per formula unit
* formation energy: -187 meV/atom
* crystal system: tetragonal

=====

5.
DFT (PBE) results for a relaxed La4ZnIn crystal.

Geometry as extended XYZ:
```
6
Lattice="3.567 0.000 1.032 1.975 5.910 -0.147 -0.592 -1.581 8.727" Properties=species:S:1:pos:R:3 pbc="T T T"
La 3.520 1.718 7.874
La 0.997 -0.215 3.233
La 1.430 2.610 1.737
La 3.953 4.543 6.378
Zn 2.475 2.164 4.806
In 0.000 0.000 0.000
```

Results
* Fermi-level density of states: 6.82 states/eV/cell
* ΔE to the lowest computed polymorph: 0.0 meV/atom
* calculated total energy: -25.25 eV per formula unit
* formation energy: -255 meV/atom
* crystal system: monoclinic

=====

6.
DFT (PBE) results for a relaxed La3Zn4In2 crystal.

Geometry as extended XYZ:
```
9
Lattice="-0.114 -2.194 -4.237 -0.045 -3.874 4.696 -8.370 3.353 -1.513" Properties=species:S:1:pos:R:3 pbc="T T T"
La -5.729 -0.467 -2.293
La 0.000 0.000 0.000
La -2.800 -2.248 1.239
Zn -0.420 -3.089 -1.077
Zn -8.108 0.374 0.023
Zn -5.032 -3.377 -0.804
Zn -3.496 0.662 -0.249
In -2.453 -1.319 -1.939
In -6.076 -1.396 0.886
```

Results
* Fermi-level density of states: 6.65 states/eV/cell
* calculated total energy: -29.14 eV per formula unit
* formation energy: -420 meV/atom
* crystal system: monoclinic

=====

7.
DFT (PBE) results for a relaxed La11Zn4In9 crystal.

Geometry as extended XYZ:
```
24
Lattice="-2.491 -2.926 -0.823 6.163 -1.817 -12.196 5.658 -7.626 9.993" Properties=species:S:1:pos:R:3 pbc="T T T"
La 8.937 -8.233 2.222
La 2.883 -1.210 -4.425
La 9.115 -6.189 -5.587
La 2.706 -3.255 3.384
La 5.977 -3.961 -4.009
La 5.844 -5.483 1.805
La 6.082 -2.754 -8.618
La 5.739 -6.690 6.415
La 0.000 0.000 0.000
La 8.253 -6.593 -1.538
La 3.568 -2.850 -0.665
Zn 6.410 -8.205 0.387
Zn 2.920 -4.165 -3.413
Zn 6.512 -7.035 -4.083
Zn 2.818 -5.335 1.057
In 3.570 -3.853 -6.493
In 5.760 -8.517 3.466
In 3.333 -6.579 3.919
In 5.997 -5.791 -6.945
In 8.809 -9.942 -0.696
In 0.521 -2.428 -2.330
In 8.881 -9.106 -3.889
In 0.449 -3.264 0.862
In 4.665 -6.185 -1.513
```

Results
* Fermi-level density of states: 24.47 states/eV/cell
* calculated total energy: -94.95 eV per formula unit
* formation energy: -459 meV/atom
* crystal system: orthorhombic

=====

8.
DFT (PBE) results for a relaxed La4ZnIn crystal.

Geometry as extended XYZ:
```
6
Lattice="5.327 0.000 0.000 0.000 5.328 0.000 0.006 0.009 7.416" Properties=species:S:1:pos:R:3 pbc="T T T"
La 2.672 5.314 2.014
La 2.674 5.323 5.373
La 0.012 2.655 5.372
La 0.007 2.653 2.015
Zn 0.010 5.318 3.696
In 2.676 2.659 7.402
```

Results
* Fermi-level density of states: 9.04 states/eV/cell
* ΔE to the lowest computed polymorph: 169.9 meV/atom
* calculated total energy: -24.23 eV per formula unit
* formation energy: -85 meV/atom
* crystal system: monoclinic